# HoBe2SiRu (GGA-PBE, relaxed)
data_HoBe2SiRu
_cell_length_a 3.7773
_cell_length_b 3.8003
_cell_length_c 10.1710
_cell_angle_alpha 90.00
_cell_angle_beta 90.00
_cell_angle_gamma 90.00
_space_group_name_H-M_alt 'I m m 2'
_space_group_IT_number 44
loop_
_space_group_symop_operation_xyz
'x,y,z'
'-x,-y,z'
'-x,y,z'
'x,-y,z'
'x+1/2,y+1/2,z+1/2'
'-x+1/2,-y+1/2,z+1/2'
'-x+1/2,y+1/2,z+1/2'
'x+1/2,-y+1/2,z+1/2'
loop_
_atom_site_label
_atom_site_type_symbol
_atom_site_fract_x
_atom_site_fract_y
_atom_site_fract_z
Ho1 Ho 0.0000 0.0000 0.0000
Be1 Be 0.0000 0.0000 0.6152
Be2 Be 0.0000 0.5000 0.2458
Si1 Si 0.0000 0.0000 0.3798
Ru1 Ru 0.0000 0.5000 0.7395
# **E_form (uncorrected)**: -415 meV per atom